<w>
# Ca2Ga3Au5, optimized geometry, DFT PBE-GGA
# - ρ (g/cm³) = 10.4
# - crystal system = orthorhombic
# - volume (Å³ per atom) = 20.3
data_Ca2Ga3Au5
_chemical_formula_sum 'Ca8 Ga12 Au20'
_symmetry_space_group_name_H-M 'C m c 21'
_symmetry_Int_Tables_number 36
_cell_length_a 4.5726
_cell_length_b 24.6780
_cell_length_c 7.2103
_cell_angle_alpha 90.00
_cell_angle_beta 90.00
_cell_angle_gamma 90.00
loop_
_symmetry_equiv_pos_as_xyz
'x,y,z'
'-x,-y,z+1/2'
'-x,y,z'
'x,-y,z+1/2'
'x+1/2,y+1/2,z'
'-x+1/2,-y+1/2,z+1/2'
'-x+1/2,y+1/2,z'
'x+1/2,-y+1/2,z+1/2'
loop_
_atom_site_label
_atom_site_type_symbol
_atom_site_fract_x
_atom_site_fract_y
_atom_site_fract_z
_atom_site_occupancy
Ca1 Ca 0.0000 0.0205 0.0000 1
Ca2 Ca 0.0000 0.3218 0.0689 1
Ga1 Ga 0.0000 0.1077 0.3181 1
Ga2 Ga 0.0000 0.2787 0.6004 1
Ga3 Ga 0.0000 0.4504 0.1869 1
Au1 Au 0.0000 0.1021 0.6952 1
Au2 Au 0.0000 0.2052 0.8821 1
Au3 Au 0.0000 0.2126 0.3065 1
Au4 Au 0.0000 0.3800 0.4757 1
Au5 Au 0.0000 0.4477 0.8037 1

***

<x>
# Ca2Ga3Au5, optimized geometry, DFT PBE-GGA
# - ρ (g/cm³) = 10.0
# - crystal system = tetragonal
# - volume (Å³ per atom) = 21.2
data_Ca2Ga3Au5
_chemical_formula_sum 'Ca2 Ga3 Au5'
_symmetry_space_group_name_H-M 'P -4 m 2'
_symmetry_Int_Tables_number 115
_cell_length_a 4.2030
_cell_length_b 4.2030
_cell_length_c 11.9733
_cell_angle_alpha 90.00
_cell_angle_beta 90.00
_cell_angle_gamma 90.00
loop_
_symmetry_equiv_pos_as_xyz
'x,y,z'
'y,-x,-z'
'-x,-y,z'
'-y,x,-z'
'-x,y,z'
'-y,-x,-z'
'x,-y,z'
'y,x,-z'
loop_
_atom_site_label
_atom_site_type_symbol
_atom_site_fract_x
_atom_site_fract_y
_atom_site_fract_z
_atom_site_occupancy
Ca1 Ca 0.0000 0.5000 0.2469 1
Ga1 Ga 0.0000 0.5000 0.6319 1
Ga2 Ga 0.5000 0.5000 0.5000 1
Au1 Au 0.0000 0.0000 0.0000 1
Au2 Au 0.0000 0.0000 0.5000 1
Au3 Au 0.0000 0.5000 0.8396 1
Au4 Au 0.5000 0.5000 0.0000 1

***

Of them, <x> has the lowest stability.

***

<w>
# Ca3Ga2Au3, optimized geometry, DFT PBE-GGA
# - ρ (g/cm³) = 7.5
# - crystal system = orthorhombic
# - volume (Å³ per atom) = 23.4
data_Ca3Ga2Au3
_chemical_formula_sum 'Ca12 Ga8 Au12'
_symmetry_space_group_name_H-M 'P n m a'
_symmetry_Int_Tables_number 62
_cell_length_a 8.0178
_cell_length_b 15.5307
_cell_length_c 6.0160
_cell_angle_alpha 90.00
_cell_angle_beta 90.00
_cell_angle_gamma 90.00
loop_
_symmetry_equiv_pos_as_xyz
'x,y,z'
'-x,-y,-z'
'-x+1/2,-y,z+1/2'
'x+1/2,y,-z+1/2'
'x+1/2,-y+1/2,-z+1/2'
'-x+1/2,y+1/2,z+1/2'
'-x,y+1/2,-z'
'x,-y+1/2,z'
loop_
_atom_site_label
_atom_site_type_symbol
_atom_site_fract_x
_atom_site_fract_y
_atom_site_fract_z
_atom_site_occupancy
Ca1 Ca 0.0288 0.1057 0.1381 1
Ca2 Ca 0.1716 0.2500 0.6072 1
Ga1 Ga 0.1211 0.6067 0.3732 1
Au1 Au 0.1802 0.0395 0.5928 1
Au2 Au 0.1871 0.7500 0.6062 1

***

<x>
# Ca3Ga2Au3, optimized geometry, DFT PBE-GGA
# - ρ (g/cm³) = 7.6
# - crystal system = orthorhombic
# - volume (Å³ per atom) = 23.3
data_Ca3Ga2Au3
_chemical_formula_sum 'Ca12 Ga8 Au12'
_symmetry_space_group_name_H-M 'C m c m'
_symmetry_Int_Tables_number 63
_symmetry_space_group_name_Hall '-C 2c 2'
_cell_length_a 4.5363
_cell_length_b 10.8963
_cell_length_c 15.0545
_cell_angle_alpha 90.00
_cell_angle_beta 90.00
_cell_angle_gamma 90.00
loop_
_atom_site_label
_atom_site_type_symbol
_atom_site_fract_x
_atom_site_fract_y
_atom_site_fract_z
_atom_site_occupancy
Ca1 Ca 0.0000 0.0846 0.1050 1
Ca2 Ca 0.0000 0.3741 0.2500 1
Ga1 Ga 0.0000 0.2131 0.5963 1
Au1 Au 0.0000 0.3323 0.7500 1
Au2 Au 0.0000 0.3821 0.0450 1

***

Of them, <w> has the lowest stability.

***

<w>
# CaGa3Au6, optimized geometry, DFT PBE-GGA
# - ρ (g/cm³) = 11.4
# - crystal system = triclinic
# - volume (Å³ per atom) = 20.9
data_CaGa3Au6
_chemical_formula_sum 'Ca1 Ga3 Au6'
_symmetry_space_group_name_H-M 'P 1'
_symmetry_Int_Tables_number 1
_cell_length_a 6.2714
_cell_length_b 6.3282
_cell_length_c 6.6483
_cell_angle_alpha 93.96
_cell_angle_beta 109.31
_cell_angle_gamma 119.11
loop_
_symmetry_equiv_pos_as_xyz
'x,y,z'
loop_
_atom_site_label
_atom_site_type_symbol
_atom_site_fract_x
_atom_site_fract_y
_atom_site_fract_z
_atom_site_occupancy
Ca1 Ca 0.0000 0.0000 0.0000 1
Ga1 Ga 0.0227 0.5384 0.5763 1
Ga2 Ga 0.5119 0.3790 0.7613 1
Ga3 Ga 0.5554 0.8043 0.2118 1
Au1 Au 0.0198 0.5091 0.9904 1
Au2 Au 0.0435 0.9662 0.4990 1
Au3 Au 0.3157 0.4786 0.4093 1
Au4 Au 0.4211 0.9549 0.8829 1
Au5 Au 0.6434 0.4390 0.1899 1
Au6 Au 0.6655 0.0909 0.5764 1

***

<x>
# CaGa3Au6, optimized geometry, DFT PBE-GGA
# - ρ (g/cm³) = 10.9
# - crystal system = trigonal
# - volume (Å³ per atom) = 21.8
data_CaGa3Au6
_chemical_formula_sum 'Ca3 Ga9 Au18'
_symmetry_space_group_name_H-M 'R 3 m'
_symmetry_Int_Tables_number 160
_symmetry_space_group_name_Hall 'R 3 -2"'
_cell_length_a 12.5273
_cell_length_b 12.5273
_cell_length_c 4.8076
_cell_angle_alpha 90.00
_cell_angle_beta 90.00
_cell_angle_gamma 120.00
loop_
_atom_site_label
_atom_site_type_symbol
_atom_site_fract_x
_atom_site_fract_y
_atom_site_fract_z
_atom_site_occupancy
Ca1 Ca 0.0000 0.0000 0.0000 1
Ga1 Ga 0.0302 0.5151 0.6500 1
Au1 Au 0.0787 0.1574 0.4848 1
Au2 Au 0.2041 0.4083 0.4852 1

***

Of them, <x> has the lowest stability.

***

<w>
# Ca4GaAu, optimized geometry, DFT PBE-GGA
# - ρ (g/cm³) = 3.8
# - crystal system = monoclinic
# - volume (Å³ per atom) = 31.5
data_Ca4GaAu
_chemical_formula_sum 'Ca16 Ga4 Au4'
_symmetry_space_group_name_H-M 'C 1 2/c 1'
_symmetry_Int_Tables_number 15
_cell_length_a 9.5409
_cell_length_b 14.0278
_cell_length_c 6.8231
_cell_angle_alpha 90.00
_cell_angle_beta 124.09
_cell_angle_gamma 90.00
loop_
_symmetry_equiv_pos_as_xyz
'x,y,z'
'-x,-y,-z'
'-x,y,-z+1/2'
'x,-y,z+1/2'
'x+1/2,y+1/2,z'
'-x+1/2,-y+1/2,-z'
'-x+1/2,y+1/2,-z+1/2'
'x+1/2,-y+1/2,z+1/2'
loop_
_atom_site_label
_atom_site_type_symbol
_atom_site_fract_x
_atom_site_fract_y
_atom_site_fract_z
_atom_site_occupancy
Ca1 Ca 0.1256 0.1810 0.0914 1
Ca2 Ca 0.1957 0.4412 0.2636 1
Ga1 Ga 0.0000 0.3646 0.7500 1
Au1 Au 0.0000 0.0045 0.2500 1

***

<x>
# Ca4GaAu, optimized geometry, DFT PBE-GGA
# - ρ (g/cm³) = 3.8
# - crystal system = monoclinic
# - volume (Å³ per atom) = 31.3
data_Ca4GaAu
_chemical_formula_sum 'Ca16 Ga4 Au4'
_symmetry_space_group_name_H-M 'C 1 2/c 1'
_symmetry_Int_Tables_number 15
_cell_length_a 9.6455
_cell_length_b 13.8241
_cell_length_c 6.8577
_cell_angle_alpha 90.00
_cell_angle_beta 124.76
_cell_angle_gamma 90.00
loop_
_symmetry_equiv_pos_as_xyz
'x,y,z'
'-x,-y,-z'
'-x,y,-z+1/2'
'x,-y,z+1/2'
'x+1/2,y+1/2,z'
'-x+1/2,-y+1/2,-z'
'-x+1/2,y+1/2,-z+1/2'
'x+1/2,-y+1/2,z+1/2'
loop_
_atom_site_label
_atom_site_type_symbol
_atom_site_fract_x
_atom_site_fract_y
_atom_site_fract_z
_atom_site_occupancy
Ca1 Ca 0.1274 0.1792 0.0963 1
Ca2 Ca 0.1946 0.4418 0.2588 1
Ga1 Ga 0.0000 0.0009 0.2500 1
Au1 Au 0.0000 0.3645 0.7500 1

***

Of them, <w> has the lowest stability.

***

<w>
# RbCaGa2Au, optimized geometry, DFT PBE-GGA
# - ρ (g/cm³) = 4.8
# - crystal system = tetragonal
# - volume (Å³ per atom) = 32.0
data_RbCaGa2Au
_chemical_formula_sum 'Rb1 Ca1 Ga2 Au1'
_symmetry_space_group_name_H-M 'P 4/m m m'
_symmetry_Int_Tables_number 123
_symmetry_space_group_name_Hall '-P 4 2'
_cell_length_a 5.1631
_cell_length_b 5.1631
_cell_length_c 5.9959
_cell_angle_alpha 90.00
_cell_angle_beta 90.00
_cell_angle_gamma 90.00
loop_
_atom_site_label
_atom_site_type_symbol
_atom_site_fract_x
_atom_site_fract_y
_atom_site_fract_z
_atom_site_occupancy
Rb1 Rb 0.0000 0.0000 0.0000 1
Ca1 Ca 0.5000 0.5000 0.0000 1
Ga1 Ga 0.0000 0.5000 0.5000 1
Au1 Au 0.0000 0.0000 0.5000 1

***

<x>
# RbCaGa2Au, optimized geometry, DFT PBE-GGA
# - ρ (g/cm³) = 4.0
# - crystal system = tetragonal
# - volume (Å³ per atom) = 38.0
data_RbCaGa2Au
_chemical_formula_sum 'Rb1 Ca1 Ga2 Au1'
_symmetry_space_group_name_H-M 'P 4/m m m'
_symmetry_Int_Tables_number 123
_symmetry_space_group_name_Hall '-P 4 2'
_cell_length_a 5.8296
_cell_length_b 5.8296
_cell_length_c 5.5868
_cell_angle_alpha 90.00
_cell_angle_beta 90.00
_cell_angle_gamma 90.00
loop_
_atom_site_label
_atom_site_type_symbol
_atom_site_fract_x
_atom_site_fract_y
_atom_site_fract_z
_atom_site_occupancy
Rb1 Rb 0.0000 0.0000 0.0000 1
Ca1 Ca 0.5000 0.5000 0.5000 1
Ga1 Ga 0.0000 0.5000 0.5000 1
Au1 Au 0.5000 0.5000 0.0000 1

***

Of them, <x> has the lowest stability.